No. 1
First-principles (PBE-GGA) data for BaBeOs3 after structural relaxation, as listed in Alexandria via LeMat-Bulk.

abc: 5.0533 5.0533 5.0533
angles: 90.00 90.00 90.00
With the nearest neighbours (Å) after each atom.
Space group Pm-3m (No. 221)
Asymmetric unit:
Ba 0.0000 0.0000 0.0000  6 Os 2.53
Be 0.5000 0.5000 0.5000  12 Os 3.57
Os 0.0000 0.0000 0.5000  2 Ba 2.53

Calculated values
formation enthalpy at 0 K	4.0703	eV per atom
size of the total moment	3.8	μB per formula unit
relative energy among the computed polymorphs	276.84	kJ per mole of atoms

No. 2
First-principles (PBE-GGA) data for W3Au5 after structural relaxation, as listed in Alexandria via LeMat-Bulk.

abc: 5.2621 15.1741 7.5101
angles: 90.00 106.01 90.00
With the nearest neighbours (Å) after each atom.
Space group Cm (No. 8)
Asymmetric unit:
W 0.0000 0.0000 0.0000  1 W 2.44, 1 Au 2.69
W 0.0984 0.5000 0.7428  1 W 2.44
W 0.3195 0.2487 0.6334  4 W 2.54-2.65, 3 Au 2.79-2.83
W 0.4744 0.3054 0.3469  2 W 2.54-2.65
Au 0.0155 0.3893 0.4364  6 W 2.78-3.03, 3 Au 2.86-2.93
Au 0.0493 0.5000 0.1247  7 Au 2.77-3.03, 3 W 2.78-2.95
Au 0.0530 0.0000 0.3661  3 W 2.69-2.98, 5 Au 2.77-2.88
Au 0.0924 0.0912 0.7060  6 W 2.76-3.03, 3 Au 2.77-2.93
Au 0.1899 0.3426 0.9268  4 W 2.73-2.86, 4 Au 2.78-3.01
Au 0.2520 0.1730 0.0730  6 Au 2.78-3.03, 3 W 2.85-2.92

Calculated values
formation enthalpy at 0 K	0.4889	eV per atom
size of the total moment	0.0	μB per formula unit
relative energy among the computed polymorphs	0.00	kJ per mole of atoms

No. 3
First-principles (PBE-GGA) data for K2H2C2O5 after structural relaxation, as listed in Alexandria via LeMat-Bulk.

abc: 9.1001 6.4549 10.6498
angles: 90.00 107.68 90.00
With the nearest neighbours (Å) after each atom.
Space group C2/c (No. 15)
Asymmetric unit:
K 0.1325 0.1624 0.1319  7 O 2.77-2.99, 2 H 3.01-3.05
H 0.0379 0.4103 0.6916  1 O 1.00
C 0.2282 0.3212 0.5518  2 O 1.27
O 0.0000 0.4965 0.2500  2 H 1.00
O 0.1150 0.2617 0.5897  1 C 1.27
O 0.1914 0.0180 0.4085  1 C 1.27

Calculated values
size of the total moment	0.0	μB per formula unit

No. 4
First-principles (PBE-GGA) data for Ce2ZnCoCu after structural relaxation, as listed in Alexandria via LeMat-Bulk.

abc: 6.7278 4.3523 7.0933
angles: 90.00 105.29 90.00
With the nearest neighbours (Å) after each atom.
Space group P2_1/m (No. 11)
Asymmetric unit:
Ce 0.1375 0.2500 0.3519  3 Co 2.85-3.08, 3 Cu 3.05-3.17, 2 Zn 3.12
Ce 0.2792 0.2500 0.9498  1 Co 2.45
Zn 0.3569 0.7500 0.6508  3 Cu 2.54-2.60
Co 0.0928 0.7500 0.0855  1 Ce 2.45, 1 Cu 2.48, 2 Co 2.64
Cu 0.4421 0.7500 0.3145  1 Co 2.48, 3 Zn 2.54-2.60

Calculated values
formation enthalpy at 0 K	-0.1784	eV per atom
size of the total moment	0.6	μB per formula unit

No. 5
First-principles (PBE-GGA) data for TmMn2PC after structural relaxation, as listed in Alexandria via LeMat-Bulk.

abc: 3.5956 10.4142 6.8383
angles: 90.00 90.00 90.00
With the nearest neighbours (Å) after each atom.
Space group Cmcm (No. 63)
Asymmetric unit:
Tm 0.0000 0.0427 0.2500  4 C 2.52
Mn 0.0000 0.3294 0.0574  1 C 1.82
P 0.0000 0.2343 0.7500  6 Mn 2.32-2.33
C 0.0000 0.5000 0.0000  2 Mn 1.82

Calculated values
formation enthalpy at 0 K	-0.7148	eV per atom
size of the total moment	1.9	μB per formula unit

No. 6
First-principles (PBE-GGA) data for BiBr4Cl after structural relaxation, as listed in Alexandria via LeMat-Bulk.

abc: 7.5459 20.0034 7.3752
angles: 90.00 92.66 90.00
With the nearest neighbours (Å) after each atom.
Space group C2/c (No. 15)
Asymmetric unit:
Bi 0.0000 0.0512 0.2500  6 Br 2.89-2.92
Br 0.2096 0.1563 0.0887  1 Cl 2.45
Br 0.2176 0.0501 0.5832  2 Bi 2.89-2.92
Cl 0.0000 0.3468 0.7500  2 Br 2.45

Calculated values
raw formation energy	-0.461	eV/atom
size of the total moment	0.0	μB per formula unit

| no. | V (Å³/cell) | raw total energy (eV per atom) |
| --- | --- | --- |
| 1 | 129.0 | -3.80 |
| 2 | 576.4 | -6.42 |
| 3 | 596.0 | -6.17 |
| 4 | 200.4 | -5.05 |
| 5 | 256.1 | -8.20 |
| 6 | 1112.0 | -2.53 |